Record 1
# Tl2GaBiSe4 GGA-PBE optimized geometry
# **Spin magnetization**: 0.000 μB/atom
# **Uncorrected formation energy**: -431 meV/atom
# **Calculated volume**: 473.5 Å³ per cell
data_Tl2GaBiSe4
_chemical_formula_sum 'Tl4 Ga2 Bi2 Se8'
_symmetry_space_group_name_H-M 'I -4 2 m'
_symmetry_Int_Tables_number 121
_symmetry_space_group_name_Hall 'I -4 2'
_cell_length_a 8.179
_cell_length_b 8.179
_cell_length_c 7.078
_cell_angle_alpha 90.00
_cell_angle_beta 90.00
_cell_angle_gamma 90.00
loop_
_atom_site_label
_atom_site_fract_x
_atom_site_fract_y
_atom_site_fract_z
_atom_site_occupancy
Tl1 0.000 0.500 0.000 1
Ga1 0.000 0.000 0.000 1
Bi1 0.000 0.000 0.500 1
Se1 0.171 0.171 0.790 1

***

Record 2
# MgCd6Hg GGA-PBE optimized geometry
# **ΔE_f**: 0.0018 eV/atom
# **Excess energy over the best structure of this formula in the dataset**: 0.010 eV per atom
# **Spin magnetization**: 0.000 μB/atom
# **Calculated volume**: 185.5 Å³ per cell
data_MgCd6Hg
_chemical_formula_sum 'Mg1 Cd6 Hg1'
_symmetry_space_group_name_H-M 'P -1'
_symmetry_Int_Tables_number 2
_symmetry_space_group_name_Hall '-P 1'
_cell_length_a 5.687
_cell_length_b 5.770
_cell_length_c 5.807
_cell_angle_alpha 98.60
_cell_angle_beta 97.62
_cell_angle_gamma 95.43
loop_
_atom_site_label
_atom_site_fract_x
_atom_site_fract_y
_atom_site_fract_z
_atom_site_occupancy
Mg1 0.000 0.000 0.000 1
Cd1 0.022 0.749 0.468 1
Cd2 0.249 0.532 0.978 1
Cd3 0.466 0.024 0.751 1
Hg1 0.500 0.500 0.500 1

***

Record 3
# Nd2Dy17 GGA-PBE optimized geometry
# **ΔE_f**: 0.2774 eV/atom
# **Spin magnetization**: 0.000 μB/atom
# **Calculated volume**: 1909.6 Å³ per cell
data_Nd2Dy17
_chemical_formula_sum 'Nd6 Dy51'
_symmetry_space_group_name_H-M 'R -3 m'
_symmetry_Int_Tables_number 166
_symmetry_space_group_name_Hall '-R 3 2"'
_cell_length_a 11.2074
_cell_length_b 11.2074
_cell_length_c 17.5554
_cell_angle_alpha 90.00
_cell_angle_beta 90.00
_cell_angle_gamma 120.00
loop_
_atom_site_label
_atom_site_fract_x
_atom_site_fract_y
_atom_site_fract_z
_atom_site_occupancy
Nd1 0.0000 0.0000 0.1733 1
Dy1 0.0000 0.0000 0.4042 1
Dy2 0.0000 0.2975 0.5000 1
Dy3 0.0000 0.5000 0.0000 1
Dy4 0.0120 0.5060 0.6370 1

***

Record 4
# LaHf2V2 GGA-PBE optimized geometry
# **ΔE_f**: 0.3758 eV/atom
# **Spin magnetization**: 0.000 μB/atom
# **Calculated volume**: 215.3 Å³ per cell
data_LaHf2V2
_chemical_formula_sum 'La2 Hf4 V4'
_symmetry_space_group_name_H-M 'P 4/m b m'
_symmetry_Int_Tables_number 127
_symmetry_space_group_name_Hall '-P 4 2ab'
_cell_length_a 8.212
_cell_length_b 8.212
_cell_length_c 3.192
_cell_angle_alpha 90.00
_cell_angle_beta 90.00
_cell_angle_gamma 90.00
loop_
_atom_site_label
_atom_site_fract_x
_atom_site_fract_y
_atom_site_fract_z
_atom_site_occupancy
La1 0.000 0.000 0.000 1
Hf1 0.138 0.362 0.500 1
V1 0.142 0.642 0.000 1

***

Record 5
# PtSCl3 GGA-PBE optimized geometry
# **Excess energy over the best structure of this formula in the dataset**: 0.548 eV per atom
# **Spin magnetization**: 0.543 μB/atom
# **Uncorrected formation energy**: 391 meV/atom
# **Calculated volume**: 116.9 Å³ per cell
data_PtSCl3
_chemical_formula_sum 'Pt1 S1 Cl3'
_symmetry_space_group_name_H-M 'P m -3 m'
_symmetry_Int_Tables_number 221
_symmetry_space_group_name_Hall '-P 4 2 3'
_cell_length_a 4.890
_cell_length_b 4.890
_cell_length_c 4.890
_cell_angle_alpha 90.00
_cell_angle_beta 90.00
_cell_angle_gamma 90.00
loop_
_atom_site_label
_atom_site_fract_x
_atom_site_fract_y
_atom_site_fract_z
_atom_site_occupancy
Pt1 0.000 0.000 0.000 1
S1 0.500 0.500 0.500 1
Cl1 0.000 0.000 0.500 1

***

Record 6
# Rb2GaFeI6 GGA-PBE optimized geometry
# **Spin magnetization**: 0.394 μB/atom
# **Uncorrected formation energy**: -701 meV/atom
# **Calculated volume**: 796.0 Å³ per cell
data_Rb2GaFeI6
_chemical_formula_sum 'Rb4 Ga2 Fe2 I12'
_symmetry_space_group_name_H-M 'I 4/m m m'
_symmetry_Int_Tables_number 139
_symmetry_space_group_name_Hall '-I 4 2'
_cell_length_a 8.252
_cell_length_b 8.252
_cell_length_c 11.690
_cell_angle_alpha 90.00
_cell_angle_beta 90.00
_cell_angle_gamma 90.00
loop_
_atom_site_label
_atom_site_fract_x
_atom_site_fract_y
_atom_site_fract_z
_atom_site_occupancy
Rb1 0.000 0.500 0.250 1
Ga1 0.000 0.000 0.000 1
Fe1 0.000 0.000 0.500 1
I1 0.000 0.000 0.260 1
I2 0.240 0.240 0.500 1

***

Record 7
# K2IrIN GGA-PBE optimized geometry
# **Spin magnetization**: 0.022 μB/atom
# **Uncorrected formation energy**: -408 meV/atom
# **Calculated volume**: 143.5 Å³ per cell
data_K2IrIN
_chemical_formula_sum 'K2 Ir1 I1 N1'
_symmetry_space_group_name_H-M 'P 4/m m m'
_symmetry_Int_Tables_number 123
_symmetry_space_group_name_Hall '-P 4 2'
_cell_length_a 6.213
_cell_length_b 6.213
_cell_length_c 3.718
_cell_angle_alpha 90.00
_cell_angle_beta 90.00
_cell_angle_gamma 90.00
loop_
_atom_site_label
_atom_site_fract_x
_atom_site_fract_y
_atom_site_fract_z
_atom_site_occupancy
K1 0.000 0.500 0.000 1
Ir1 0.000 0.000 0.500 1
I1 0.500 0.500 0.500 1
N1 0.000 0.000 0.000 1

***

Record 8
# LiThAs2 GGA-PBE optimized geometry
# **ΔE_f**: -0.8341 eV/atom
# **Excess energy over the best structure of this formula in the dataset**: 0.167 eV per atom
# **Spin magnetization**: 0.000 μB/atom
# **Calculated volume**: 288.9 Å³ per cell
data_LiThAs2
_chemical_formula_sum 'Li3 Th3 As6'
_symmetry_space_group_name_H-M 'R 3 m'
_symmetry_Int_Tables_number 160
_symmetry_space_group_name_Hall 'R 3 -2"'
_cell_length_a 4.2552
_cell_length_b 4.2552
_cell_length_c 18.4260
_cell_angle_alpha 90.00
_cell_angle_beta 90.00
_cell_angle_gamma 120.00
loop_
_atom_site_label
_atom_site_fract_x
_atom_site_fract_y
_atom_site_fract_z
_atom_site_occupancy
Li1 0.0000 0.0000 0.0000 1
Th1 0.0000 0.0000 0.8184 1
As1 0.0000 0.0000 0.2449 1
As2 0.0000 0.0000 0.3925 1